DFT (PBE) results for a relaxed structure of Sr2ScInAs.

The structure in POSCAR format:
```
Sr2ScInAs
1.0
6.281 0.000 0.000
0.000 6.281 0.000
0.000 0.000 5.223
Sr Sc In As
2 1 1 1
direct
0.000 0.500 0.000
0.500 0.000 0.000
0.000 0.000 0.500
0.500 0.500 0.000
0.500 0.500 0.500
```

Results
raw total energy	-2.967	eV per atom
energy of formation	216.9	kJ/mol of formula units
space group	P4/mmm, No. 123



DFT (PBE) results for a relaxed structure of MoPb.

The structure in POSCAR format:
```
MoPb
1.0
3.258 0.000 0.000
0.000 6.183 3.453
0.000 -6.183 3.453
Mo Pb
3 3
direct
0.000 0.000 0.000
0.500 0.142 0.339
0.500 0.339 0.142
0.000 0.198 0.723
0.000 0.723 0.198
0.500 0.637 0.637
```

Results
distance to the lowest polymorph of the same formula	195	meV per atom
raw total energy	-6.749	eV per atom
energy of formation	100.4	kJ/mol of formula units
space group	Amm2, No. 38



DFT (PBE) results for a relaxed structure of LiAg5Au6.

The structure in POSCAR format:
```
LiAg5Au6
1.0
2.470 -7.416 0.000
2.470 7.416 0.000
-0.037 0.000 5.841
Li Ag Au
1 5 6
direct
0.000 0.000 0.000
0.000 0.000 0.500
0.331 0.669 0.000
0.333 0.667 0.500
0.667 0.333 0.500
0.669 0.331 0.000
0.162 0.838 0.247
0.162 0.838 0.753
0.498 0.498 0.244
0.502 0.502 0.756
0.838 0.162 0.247
0.838 0.162 0.753
```

Results
distance to the lowest polymorph of the same formula	26	meV per atom
raw total energy	-3.090	eV per atom
energy of formation	-119.9	kJ/mol of formula units
space group	C2/m, No. 12



DFT (PBE) results for a relaxed structure of Pu3NbN6.

The structure in POSCAR format:
```
Pu3NbN6
1.0
2.864 1.654 4.849
-2.864 1.654 4.849
0.000 -3.307 4.849
Pu Nb N
3 1 6
direct
0.000 0.000 0.000
0.222 0.222 0.222
0.500 0.500 0.500
0.720 0.720 0.720
0.069 0.425 0.836
0.332 0.897 0.605
0.425 0.836 0.069
0.605 0.332 0.897
0.836 0.069 0.425
0.897 0.605 0.332
```

Results
distance to the lowest polymorph of the same formula	94	meV per atom
raw formation energy	-9.80	eV per formula unit
raw total energy	-11.282	eV per atom
space group	R3, No. 146



DFT (PBE) results for a relaxed structure of Cs3Tb2CdS6.

The structure in POSCAR format:
```
Cs3Tb2CdS6
1.0
3.566 -6.171 0.000
3.566 6.171 0.000
-2.361 0.000 8.048
Cs Tb Cd S
3 2 1 6
direct
0.000 0.000 0.000
0.335 0.665 0.000
0.665 0.335 0.000
0.167 0.833 0.500
0.833 0.167 0.500
0.500 0.500 0.500
0.102 0.439 0.317
0.224 0.224 0.683
0.439 0.102 0.317
0.561 0.898 0.683
0.776 0.776 0.317
0.898 0.561 0.683
```

Results
raw formation energy	-16.29	eV per formula unit
raw total energy	-4.483	eV per atom
space group	C2/m, No. 12



DFT (PBE) results for a relaxed structure of FeAuC.

The structure in POSCAR format:
```
FeAuC
1.0
2.727 0.000 0.000
0.000 2.727 0.000
0.000 0.000 4.790
Fe Au C
1 1 1
direct
0.000 0.000 0.000
0.500 0.500 0.529
0.500 0.500 0.073
```

Results
distance to the lowest polymorph of the same formula	37	meV per atom
raw total energy	-6.361	eV per atom
energy of formation	181.6	kJ/mol of formula units
space group	P4mm, No. 99



Number 6 is which compound? FeAuC



Among the records above, which one has the lowest raw total energy? Pu3NbN6